Record 1
An optimized crystal structure of AcCeAu2O8, computed with PBE.

abc: 5.7162 5.7162 6.6641
angles: 115.40 115.40 90.00
Closest atoms and distances in Å follow each position.
Fractional coordinates of all 12 atoms:
O 0.3087 0.0402 0.4238  1 Au 2.00
O 0.9598 0.8849 0.5762  1 Au 2.00
O 0.3696 0.2212 0.0598  1 Au 2.01, 1 Ce 2.25
O 0.6902 0.8386 0.0598  1 Au 2.01, 1 Ce 2.25
O 0.1614 0.6304 0.9402  1 Au 2.01, 1 Ce 2.25
O 0.6164 0.6913 0.5762  1 Au 2.00
O 0.7788 0.3098 0.9402  1 Au 2.01, 1 Ce 2.25
O 0.1151 0.3836 0.4238  1 Au 2.00
Au 0.5000 0.5000 0.0000  4 O 2.01
Au 0.2500 0.7500 0.5000  4 O 2.00
Ac 0.7500 0.2500 0.5000  8 O 2.54-2.73
Ce 0.0000 0.0000 0.0000  8 O 2.25-2.51

As for the total energy: -5.994 eV/atom. The value obtained for the total magnetic moment is 0.256 μB per atom. As for the uncorrected formation energy: -1.31 eV/atom.

=====

Record 2
An optimized crystal structure of U2MoWC4, computed with PBE.

abc: 3.2321 5.6161 5.7615
angles: 108.90 90.00 90.00
Closest atoms and distances in Å follow each position.
Fractional coordinates of all 8 atoms:
C 0.0000 0.2617 0.7784  2 W 2.22, 1 Mo 2.24, 3 U 2.40-2.41
C 0.5000 0.2433 0.2225  1 W 2.22, 2 Mo 2.23, 3 U 2.40-2.42
C 0.5000 0.7567 0.7775  1 W 2.22, 2 Mo 2.23, 3 U 2.40-2.42
C 0.0000 0.7383 0.2216  2 W 2.22, 1 Mo 2.24, 3 U 2.40-2.41
Mo 0.0000 0.0000 0.0000  6 C 2.23-2.24
W 0.5000 0.5000 0.0000  6 C 2.22
U 0.5000 0.0000 0.5000  6 C 2.41-2.42
U 0.0000 0.5000 0.5000  6 C 2.40

The calculated formation energy comes out at -0.19 eV per atom. As for the total energy: -10.596 eV/atom. The value obtained for the total magnetic moment is 0.092 μB per atom.

=====

Record 3
An optimized crystal structure of PSe, computed with PBE.

abc: 8.3874 18.9614 7.5176
angles: 90.00 90.00 90.00
Closest atoms and distances in Å follow each position.
Fractional coordinates of all 32 atoms:
P 0.7500 0.8341 0.7500  2 Se 2.25
P 0.7500 0.1659 0.2500  2 Se 2.25
P 0.7500 0.3341 0.2500  2 Se 2.25
P 0.5000 0.4159 0.0000  2 Se 2.25
P 0.0000 0.0841 0.0000  2 Se 2.25
P 0.2500 0.6659 0.2500  2 Se 2.25
P 0.7500 0.6659 0.7500  2 Se 2.25
P 0.0000 0.4159 0.5000  2 Se 2.25
P 0.0000 0.5841 0.5000  2 Se 2.25
P 0.0000 0.9159 0.0000  2 Se 2.25
P 0.2500 0.8341 0.2500  2 Se 2.25
P 0.5000 0.9159 0.5000  2 Se 2.25
P 0.5000 0.0841 0.5000  2 Se 2.25
P 0.2500 0.1659 0.7500  2 Se 2.25
P 0.5000 0.5841 0.0000  2 Se 2.25
P 0.2500 0.3341 0.7500  2 Se 2.25
Se 0.3102 0.5000 0.0000  2 P 2.25
Se 0.0602 0.7500 0.2500  2 P 2.25
Se 0.6898 0.0000 0.5000  2 P 2.25
Se 0.3102 0.0000 0.5000  2 P 2.25
Se 0.9398 0.7500 0.7500  2 P 2.25
Se 0.1898 0.5000 0.5000  2 P 2.25
Se 0.4398 0.7500 0.2500  2 P 2.25
Se 0.4398 0.2500 0.7500  2 P 2.25
Se 0.8102 0.0000 0.0000  2 P 2.25
Se 0.8102 0.5000 0.5000  2 P 2.25
Se 0.0602 0.2500 0.7500  2 P 2.25
Se 0.1898 0.0000 0.0000  2 P 2.25
Se 0.6898 0.5000 0.0000  2 P 2.25
Se 0.9398 0.2500 0.2500  2 P 2.25
Se 0.5602 0.7500 0.7500  2 P 2.25
Se 0.5602 0.2500 0.2500  2 P 2.25

The energy above the most stable polymorph in this dataset is 337 meV/atom. As for the total energy: -4.190 eV/atom. The value obtained for the total magnetic moment is 0.000 μB per atom. As for the uncorrected formation energy: 0.26 eV/atom.

=====

Record 4
An optimized crystal structure of BeRu2Pt, computed with PBE.

abc: 2.7856 3.8478 5.0265
angles: 90.00 90.00 90.00
Closest atoms and distances in Å follow each position.
Fractional coordinates of all 4 atoms:
Be 0.5000 0.5000 0.2500  2 Pt 2.51, 8 Ru 2.65, 2 Be 2.79
Pt 0.5000 0.5000 0.7500  2 Be 2.51, 8 Ru 2.73, 2 Pt 2.79
Ru 0.0000 0.0000 0.4830  1 Ru 2.34
Ru 0.0000 0.0000 0.0170  1 Ru 2.34

The calculated formation energy comes out at 0.07 eV per atom. As for the total energy: -7.013 eV/atom. The value obtained for the total magnetic moment is 0.000 μB per atom.

=====

Record 5
An optimized crystal structure of Ac2YIrO8, computed with PBE.

abc: 4.5900 5.5523 7.2653
angles: 90.00 90.00 96.51
Closest atoms and distances in Å follow each position.
Fractional coordinates of all 12 atoms:
Ir 0.0000 0.0000 0.0000  6 O 1.85-2.01
O 0.9226 0.2204 0.7908  1 Ir 2.01
O 0.9225 0.2203 0.2092  1 Ir 2.01
O 0.0775 0.7797 0.7908  1 Ir 2.01
O 0.6227 0.8439 0.0000  1 Ir 1.85
O 0.5912 0.7518 0.5000  1 Y 2.20, 2 Ac 2.34
O 0.0774 0.7796 0.2092  1 Ir 2.01
O 0.4088 0.2482 0.5000  1 Y 2.20, 2 Ac 2.34
O 0.3773 0.1561 0.0000  1 Ir 1.85
Ac 0.4999 0.5000 0.7574  4 O 2.34-2.61
Ac 0.5001 0.5000 0.2426  4 O 2.34-2.61
Y 0.0000 0.0000 0.5000  2 O 2.20

As for the total energy: -7.491 eV/atom. The value obtained for the total magnetic moment is 0.091 μB per atom. As for the uncorrected formation energy: -2.22 eV/atom.

=====

Record 6
An optimized crystal structure of NbBiPdBr2, computed with PBE.

abc: 4.9797 5.4712 4.9797
angles: 90.00 90.00 90.00
Closest atoms and distances in Å follow each position.
Fractional coordinates of all 5 atoms:
Br 0.5000 0.0000 0.0000  2 Pd 2.49
Br 0.0000 0.0000 0.5000  2 Pd 2.49
Nb 0.0000 0.5000 0.0000  2 Pd 2.74
Pd 0.0000 0.0000 0.0000  4 Br 2.49, 2 Nb 2.74
Bi 0.5000 0.5000 0.5000  4 Nb 3.52, 8 Br 3.70

As for the total energy: -3.874 eV/atom. The value obtained for the total magnetic moment is 0.423 μB per atom. As for the uncorrected formation energy: 0.62 eV/atom.

=====

Record 7
An optimized crystal structure of Ho2ZrH, computed with PBE.

abc: 3.2462 3.2462 8.0261
angles: 90.00 90.00 90.00
Closest atoms and distances in Å follow each position.
Fractional coordinates of all 4 atoms:
Ho 0.0000 0.0000 0.7941  4 H 2.83
Ho 0.0000 0.0000 0.2059  4 H 2.83
Zr 0.5000 0.5000 0.5000  4 Zr 3.25, 8 Ho 3.29
H 0.5000 0.5000 0.0000  8 Ho 2.83

As for the total energy: -5.163 eV/atom. The value obtained for the total magnetic moment is 0.000 μB per atom.

=====

Record 8
An optimized crystal structure of TmTaGe2, computed with PBE.

abc: 3.8318 3.8318 6.8491
angles: 73.76 73.76 60.00
Closest atoms and distances in Å follow each position.
Fractional coordinates of all 4 atoms:
Ta 0.0000 0.0000 0.0000  6 Ge 2.65
Ge 0.2579 0.2579 0.2262  3 Ta 2.65, 3 Tm 2.84
Ge 0.7421 0.7421 0.7738  3 Ta 2.65, 3 Tm 2.84
Tm 0.5000 0.5000 0.5000  6 Ge 2.84

The calculated formation energy comes out at -0.41 eV per atom. As for the total energy: -6.802 eV/atom. The value obtained for the total magnetic moment is 0.000 μB per atom.

=====

Q: Look up the total magnetic moment of the seventh one.
A: 0.000 μB per atom